1.
Density functional theory data (PBE with a Hubbard U) for a relaxed NiBiIO2 crystal.

Cell and atoms, written as extended XYZ:
```
5
Lattice="4.2033 0.0000 0.0000 0.0000 4.2033 0.0000 0.0000 0.0000 6.9095" Properties=species:S:1:pos:R:3 pbc="T T T"
Ni 0.0000 0.0000 0.0000
Bi 2.1016 2.1016 3.4547
I 2.1016 2.1016 0.0000
O 0.0000 2.1016 3.4547
O 2.1016 0.0000 3.4547
```

Calculated values
- uncorrected energy (eV per atom) = -3.6708

=====

2.
Density functional theory data (PBE with a Hubbard U) for a relaxed NiBi2IO8 crystal.

Cell and atoms, written as extended XYZ:
```
12
Lattice="5.0364 0.0000 0.0000 0.0000 6.7072 0.0000 -0.1143 0.0000 5.0389" Properties=species:S:1:pos:R:3 pbc="T T T"
Ni 0.0000 0.0000 0.0000
Bi 2.4611 1.6317 2.5195
Bi 2.4611 5.0755 2.5195
I 0.0000 3.3536 0.0000
O 0.7951 1.8780 4.1610
O 0.7951 4.8292 4.1610
O 1.3204 3.3536 1.3677
O 1.4331 0.0000 1.4735
O 3.4890 0.0000 3.5654
O 3.6018 3.3536 3.6712
O 4.1271 1.8780 0.8779
O 4.1271 4.8292 0.8779
```

Calculated values
- uncorrected energy (eV per atom) = -5.0176

=====

3.
Density functional theory data (PBE with a Hubbard U) for a relaxed NiBiIO2 crystal.

Cell and atoms, written as extended XYZ:
```
5
Lattice="4.2744 0.0000 0.0000 0.0000 4.2744 0.0000 0.0000 0.0000 4.9422" Properties=species:S:1:pos:R:3 pbc="T T T"
Ni 0.0000 0.0000 0.0000
Bi 2.1372 2.1372 2.4711
I 0.0000 0.0000 2.4711
O 0.0000 2.1372 0.0000
O 2.1372 0.0000 0.0000
```

Calculated values
- uncorrected energy (eV per atom) = -3.3877

=====

The highest uncorrected energy belongs to which entry?
number 3